[1]
## Pm2Al4PdAu3 (PBE)

Data for an optimized crystal structure of Pm2Al4PdAu3.

Summary:
Energy of formation (eV/atom): -0.779
Spin magnetization (μB per atom): 0.000
Crystal system: tetragonal
E (eV per cell): -47.29

Cell and atoms, written as CIF:
```
data_Pm2Al4PdAu3
_space_group_name_H-M_alt 'P 1'
_space_group_IT_number 1
_space_group_name_Hall 'P 1'
_cell_length_a 4.368
_cell_length_b 4.368
_cell_length_c 10.517
_cell_angle_alpha 90.00
_cell_angle_beta 90.00
_cell_angle_gamma 90.00
loop_
_atom_site_label
_atom_site_fract_x
_atom_site_fract_y
_atom_site_fract_z
Pm1 0.500 0.000 0.251
Pm2 0.000 0.500 0.749
Al1 0.500 0.500 0.000
Al2 0.000 0.000 0.000
Al3 0.500 0.000 0.626
Al4 0.000 0.500 0.374
Pd1 0.500 0.500 0.500
Au1 0.000 0.000 0.500
Au2 0.500 0.000 0.865
Au3 0.000 0.500 0.135
```

---

[2]
## Sr2ScP (PBE)

Data for an optimized crystal structure of Sr2ScP.

Summary:
Energy of formation (eV/atom): -0.073
Spin magnetization (μB per atom): 0.369
Crystal system: tetragonal
E (eV per cell): -15.40

Cell and atoms, written as CIF:
```
data_Sr2ScP
_space_group_name_H-M_alt 'P 1'
_space_group_IT_number 1
_space_group_name_Hall 'P 1'
_cell_length_a 4.965
_cell_length_b 4.965
_cell_length_c 4.597
_cell_angle_alpha 90.00
_cell_angle_beta 90.00
_cell_angle_gamma 90.00
loop_
_atom_site_label
_atom_site_fract_x
_atom_site_fract_y
_atom_site_fract_z
Sr1 0.000 0.500 0.000
Sr2 0.500 0.000 0.000
Sc1 0.000 0.000 0.500
P1 0.500 0.500 0.500
```

---

[3]
## Ru3SeS (PBE)

Data for an optimized crystal structure of Ru3SeS.

Summary:
Energy above the lowest structure with this stoichiometry (meV/atom): 0
Spin magnetization (μB per atom): 0.000
Crystal system: cubic
E (eV per cell): -32.03
Raw formation energy (eV/atom): 0.6816

Cell and atoms, written as CIF:
```
data_Ru3SeS
_space_group_name_H-M_alt 'P 1'
_space_group_IT_number 1
_space_group_name_Hall 'P 1'
_cell_length_a 4.378
_cell_length_b 4.378
_cell_length_c 4.378
_cell_angle_alpha 90.00
_cell_angle_beta 90.00
_cell_angle_gamma 90.00
loop_
_atom_site_label
_atom_site_fract_x
_atom_site_fract_y
_atom_site_fract_z
Ru1 0.000 0.500 0.000
Ru2 0.000 0.000 0.500
Ru3 0.500 0.000 0.000
S1 0.000 0.000 0.000
Se1 0.500 0.500 0.500
```

---

[4]
## Pm2ZnHg8 (PBE)

Data for an optimized crystal structure of Pm2ZnHg8.

Summary:
Energy of formation (eV/atom): -0.263
Energy above the lowest structure with this stoichiometry (meV/atom): 0
Spin magnetization (μB per atom): 0.000
Crystal system: tetragonal
E (eV per cell): -16.08

Cell and atoms, written as CIF:
```
data_Pm2ZnHg8
_space_group_name_H-M_alt 'P 1'
_space_group_IT_number 1
_space_group_name_Hall 'P 1'
_cell_length_a 4.687
_cell_length_b 4.687
_cell_length_c 12.492
_cell_angle_alpha 90.00
_cell_angle_beta 90.00
_cell_angle_gamma 90.00
loop_
_atom_site_label
_atom_site_fract_x
_atom_site_fract_y
_atom_site_fract_z
Pm1 0.000 0.000 0.306
Pm2 0.000 0.000 0.694
Zn1 0.000 0.000 0.000
Hg1 0.000 0.500 0.500
Hg2 0.500 0.000 0.500
Hg3 0.500 0.500 0.312
Hg4 0.500 0.500 0.688
Hg5 0.000 0.500 0.127
Hg6 0.500 0.000 0.127
Hg7 0.000 0.500 0.873
Hg8 0.500 0.000 0.873
```

---

[5]
## ZnIn2Ir (PBE)

Data for an optimized crystal structure of ZnIn2Ir.

Summary:
Energy of formation (eV/atom): -0.036
Spin magnetization (μB per atom): 0.000
Crystal system: monoclinic
E (eV per cell): -15.76

Cell and atoms, written as CIF:
```
data_ZnIn2Ir
_space_group_name_H-M_alt 'P 1'
_space_group_IT_number 1
_space_group_name_Hall 'P 1'
_cell_length_a 6.701
_cell_length_b 6.701
_cell_length_c 4.595
_cell_angle_alpha 70.11
_cell_angle_beta 70.11
_cell_angle_gamma 25.32
loop_
_atom_site_label
_atom_site_fract_x
_atom_site_fract_y
_atom_site_fract_z
In1 0.992 0.992 0.007
In2 0.197 0.197 0.304
Ir1 0.496 0.496 0.504
Zn1 0.815 0.815 0.685
```

---

[6]
## TaNiC2 (PBE)

Data for an optimized crystal structure of TaNiC2.

Summary:
Energy of formation (eV/atom): 0.857
Energy above the lowest structure with this stoichiometry (meV/atom): 307
Spin magnetization (μB per atom): 0.000
Crystal system: cubic
E (eV per cell): -32.66

Cell and atoms, written as CIF:
```
data_TaNiC2
_space_group_name_H-M_alt 'P 1'
_space_group_IT_number 1
_space_group_name_Hall 'P 1'
_cell_length_a 3.789
_cell_length_b 3.789
_cell_length_c 3.789
_cell_angle_alpha 60.00
_cell_angle_beta 60.00
_cell_angle_gamma 60.00
loop_
_atom_site_label
_atom_site_fract_x
_atom_site_fract_y
_atom_site_fract_z
Ni1 0.000 0.000 0.000
C1 0.250 0.250 0.250
C2 0.750 0.750 0.750
Ta1 0.500 0.500 0.500
```

---

[7]
## AcTlGa (PBE)

Data for an optimized crystal structure of AcTlGa.

Summary:
Energy of formation (eV/atom): -0.156
Energy above the lowest structure with this stoichiometry (meV/atom): 304
Spin magnetization (μB per atom): 0.000
Crystal system: tetragonal
E (eV per cell): -39.88

Cell and atoms, written as CIF:
```
data_AcTlGa
_space_group_name_H-M_alt 'P 1'
_space_group_IT_number 1
_space_group_name_Hall 'P 1'
_cell_length_a 4.774
_cell_length_b 9.244
_cell_length_c 9.244
_cell_angle_alpha 86.18
_cell_angle_beta 75.04
_cell_angle_gamma 75.04
loop_
_atom_site_label
_atom_site_fract_x
_atom_site_fract_y
_atom_site_fract_z
Ac1 0.290 0.210 0.210
Ac2 0.710 0.790 0.790
Ac3 0.500 0.210 0.790
Ac4 0.500 0.790 0.210
Tl1 0.621 0.379 0.379
Tl2 0.379 0.621 0.621
Tl3 0.000 0.379 0.621
Tl4 0.000 0.621 0.379
Ga1 0.209 0.582 0.000
Ga2 0.791 0.418 0.000
Ga3 0.791 0.000 0.418
Ga4 0.209 0.000 0.582
```

---

[8]
## NaAl2InRu (PBE)

Data for an optimized crystal structure of NaAl2InRu.

Summary:
Energy of formation (eV/atom): 0.244
Spin magnetization (μB per atom): 0.000
Crystal system: tetragonal
E (eV per cell): -19.60

Cell and atoms, written as CIF:
```
data_NaAl2InRu
_space_group_name_H-M_alt 'P 1'
_space_group_IT_number 1
_space_group_name_Hall 'P 1'
_cell_length_a 4.728
_cell_length_b 5.415
_cell_length_c 4.728
_cell_angle_alpha 90.00
_cell_angle_beta 90.00
_cell_angle_gamma 90.00
loop_
_atom_site_label
_atom_site_fract_x
_atom_site_fract_y
_atom_site_fract_z
Ru1 0.000 0.000 0.000
Na1 0.000 0.500 0.000
Al1 0.000 0.000 0.500
Al2 0.500 0.000 0.000
In1 0.500 0.500 0.500
```